Record 1
This record from Alexandria describes KNi2Os at its PBEsol-relaxed geometry. The functional is meta-GGA SCAN.

Cell and atoms, written as POSCAR:
```
KNi2Os
1.0
-0.9412 -2.3541 -0.3699
3.4044 -1.7961 2.7680
-2.7970 0.5223 3.7923
K Ni Os
1 2 1
Direct
0.5000 0.5000 0.5000
0.0000 0.5000 0.0000
0.0000 0.0000 0.5000
0.5000 0.0000 0.0000
```

Energy of formation in eV per atom: 0.91
Energy above the lowest structure with this stoichiometry in meV/atom: 284
Final energy in eV for the cell shown: -108.9
M_tot in Bohr magnetons per cell: 1.79

=====

Record 2
This record from Alexandria describes KTa2NiOs at its PBEsol-relaxed geometry. The functional is meta-GGA SCAN.

Cell and atoms, written as POSCAR:
```
KTa2NiOs
1.0
4.6028 0.0000 0.0000
0.0000 4.6028 0.0000
0.0000 0.0000 4.6088
Os K Ni Ta
1 1 1 2
Direct
0.5000 0.5000 0.5000
0.0000 0.0000 0.5000
0.0000 0.0000 0.0000
0.0000 0.5000 0.0000
0.5000 0.0000 0.0000
```

Energy of formation in eV per atom: 1.90
Energy above the lowest structure with this stoichiometry in meV/atom: 643
Final energy in eV for the cell shown: -220.0
M_tot in Bohr magnetons per cell: 0.92

=====

Record 3
This record from Alexandria describes KTa2NiOs at its PBEsol-relaxed geometry. The functional is meta-GGA SCAN.

Cell and atoms, written as POSCAR:
```
KTa2NiOs
1.0
-2.3454 -3.1043 -2.8437
-1.2716 -2.5809 3.8661
-4.0507 2.6565 0.4411
Ta Os Ni K
2 1 1 1
Direct
0.0000 0.5000 0.0000
0.5000 0.0000 0.0000
0.0000 0.0000 0.0000
0.0000 0.0000 0.5000
0.5000 0.5000 0.5000
```

Energy of formation in eV per atom: 1.26
Energy above the lowest structure with this stoichiometry in meV/atom: 0
Final energy in eV for the cell shown: -223.2
M_tot in Bohr magnetons per cell: 1.95

=====

Record 4
This record from Alexandria describes K2NiP at its PBEsol-relaxed geometry. The functional is meta-GGA SCAN.

Cell and atoms, written as POSCAR:
```
K2NiP
1.0
4.1345 0.0000 0.0000
0.0000 5.5563 0.0000
0.0000 -2.7782 4.8119
K P Ni
2 1 1
Direct
0.5000 0.3333 0.6667
0.0000 0.6667 0.3333
0.5000 0.0000 0.0000
0.0000 0.0000 0.0000
```

Energy of formation in eV per atom: -0.34
Final energy in eV for the cell shown: -44.6
M_tot in Bohr magnetons per cell: 0.01

=====

Record 5
This record from Alexandria describes KNiP2 at its PBEsol-relaxed geometry. The functional is meta-GGA SCAN.

Cell and atoms, written as POSCAR:
```
KNiP2
1.0
-1.0410 0.6698 3.5890
-4.4254 -2.4903 1.1891
1.4611 -3.8857 3.1570
K Ni P
1 1 2
Direct
0.0000 0.5000 0.5000
0.5000 0.0000 0.0000
0.8531 0.1469 0.1469
0.1469 0.8531 0.8531
```

Energy of formation in eV per atom: -0.26
Energy above the lowest structure with this stoichiometry in meV/atom: 146
Final energy in eV for the cell shown: -46.3
M_tot in Bohr magnetons per cell: 0.00

=====

Record 6
This record from Alexandria describes K2NiP at its PBEsol-relaxed geometry. The functional is meta-GGA SCAN.

Cell and atoms, written as POSCAR:
```
K2NiP
1.0
-2.6946 2.3727 1.8512
-2.9715 -1.7045 -2.1407
-0.5856 -3.4299 3.5438
K P Ni
2 1 1
Direct
0.5000 0.0000 0.0000
0.0000 0.5000 0.0000
0.0000 0.0000 0.5000
0.5000 0.5000 0.5000
```

Energy of formation in eV per atom: 0.39
Final energy in eV for the cell shown: -41.7
M_tot in Bohr magnetons per cell: 0.91

=====

Record 7
This record from Alexandria describes KNiP2 at its PBEsol-relaxed geometry. The functional is meta-GGA SCAN.

Cell and atoms, written as POSCAR:
```
KNiP2
1.0
-1.8467 -0.7734 2.4135
2.5173 -0.2138 1.8577
-0.6610 6.8248 1.6811
Ni P K
1 2 1
Direct
0.5000 0.5000 0.8660
0.5000 0.5000 0.1729
0.0000 0.0000 0.9675
0.0000 0.0000 0.4936
```

Energy of formation in eV per atom: 0.16
Energy above the lowest structure with this stoichiometry in meV/atom: 562
Final energy in eV for the cell shown: -44.7
M_tot in Bohr magnetons per cell: 0.00

=====

Record 8
This record from Alexandria describes KNi2P at its PBEsol-relaxed geometry. The functional is meta-GGA SCAN.

Cell and atoms, written as POSCAR:
```
KNi2P
1.0
-2.3328 -2.8195 1.2494
1.3919 -2.7897 2.2875
-1.6202 1.2489 5.7773
P K Ni
1 1 2
Direct
0.5000 0.5000 0.5000
0.0000 0.0000 0.0000
0.8142 0.8142 0.5574
0.1858 0.1858 0.4426
```

Energy of formation in eV per atom: -0.32
Final energy in eV for the cell shown: -52.4
M_tot in Bohr magnetons per cell: 0.00